(1)
! TbPrZnFe PBE relaxed; values from VASP
&SYSTEM
  ibrav = 0, nat = 4, ntyp = 4
/
ATOMIC_SPECIES
Tb 158.93 Tb.upf
Fe 55.84 Fe.upf
Zn 65.41 Zn.upf
Pr 140.91 Pr.upf
CELL_PARAMETERS angstrom
-2.850 -3.955 1.257
-1.224 -3.428 -3.478
2.025 -4.606 0.183
ATOMIC_POSITIONS angstrom
Tb -1.536 -8.991 -1.529
Fe -1.024 -5.994 -1.019
Zn 0.000 0.000 0.000
Pr -0.512 -2.997 -0.510
! calculated total energy = -4.790 eV per atom
! formation energy from the elements = -0.004 eV/atom
! V = 22.6 Å³/atom
! SG = F-43m (216)
! magnetization = 1.38 Bohr magnetons per cell


(2)
! Sr2ZnRhCl PBE relaxed; values from VASP
&SYSTEM
  ibrav = 0, nat = 5, ntyp = 4
/
ATOMIC_SPECIES
Zn 65.41 Zn.upf
Sr 87.62 Sr.upf
Cl 35.45 Cl.upf
Rh 102.91 Rh.upf
CELL_PARAMETERS angstrom
-3.835 -1.793 -3.927
-3.909 -0.787 4.177
-1.505 4.464 -0.568
ATOMIC_POSITIONS angstrom
Zn -0.753 2.232 -0.284
Sr -1.954 -0.393 2.088
Cl -4.625 0.942 -0.159
Rh 0.000 0.000 0.000
Sr -1.918 -0.896 -1.963
! calculated total energy = -3.467 eV per atom
! V = 31.6 Å³/atom
! SG = P4/mmm (123)
! magnetization = 0.00 Bohr magnetons per cell


(3)
! ZnAsAu2 PBE relaxed; values from VASP
&SYSTEM
  ibrav = 0, nat = 4, ntyp = 3
/
ATOMIC_SPECIES
Zn 65.41 Zn.upf
Au 196.97 Au.upf
As 74.92 As.upf
CELL_PARAMETERS angstrom
5.027 -0.257 0.000
-1.466 4.816 0.000
0.000 0.000 2.986
ATOMIC_POSITIONS angstrom
Zn 2.514 -0.128 1.493
Au 1.781 2.280 0.000
Au 0.000 0.000 0.000
As -0.733 2.408 1.493
! calculated total energy = -3.041 eV per atom
! formation energy from the elements = 0.079 eV/atom
! V = 17.8 Å³/atom
! SG = Cmmm (65)
! magnetization = 0.00 Bohr magnetons per cell


(4)
! CoP2Pt PBE relaxed; values from VASP
&SYSTEM
  ibrav = 0, nat = 4, ntyp = 3
/
ATOMIC_SPECIES
Co 58.93 Co.upf
Pt 195.08 Pt.upf
P 30.97 P.upf
CELL_PARAMETERS angstrom
3.715 0.000 0.000
0.000 3.871 -0.013
0.000 -0.497 4.145
ATOMIC_POSITIONS angstrom
Co 1.858 2.531 3.099
Pt 1.858 0.844 1.033
P 0.000 -0.256 3.767
P 0.000 1.447 2.443
! calculated total energy = -6.191 eV per atom
! formation energy from the elements = -0.200 eV/atom
! V = 14.9 Å³/atom
! SG = P2/m (10)
! magnetization = 0.33 Bohr magnetons per cell


(5)
! KCr3Sb PBE relaxed; values from VASP
&SYSTEM
  ibrav = 0, nat = 5, ntyp = 3
/
ATOMIC_SPECIES
Sb 121.76 Sb.upf
Cr 52.00 Cr.upf
K 39.10 K.upf
CELL_PARAMETERS angstrom
5.296 0.000 0.000
0.000 5.296 0.000
0.000 0.000 5.296
ATOMIC_POSITIONS angstrom
Sb 2.648 2.648 2.648
Cr 0.000 0.000 2.648
Cr 2.648 0.000 0.000
Cr 0.000 2.648 0.000
K 0.000 0.000 0.000
! calculated total energy = -4.710 eV per atom
! V = 29.7 Å³/atom
! SG = Pm-3m (221)
! magnetization = 14.96 Bohr magnetons per cell


(6)
! Ce6C3SeCl2 PBE relaxed; values from VASP
&SYSTEM
  ibrav = 0, nat = 12, ntyp = 4
/
ATOMIC_SPECIES
Ce 140.12 Ce.upf
C 12.01 C.upf
Cl 35.45 Cl.upf
Se 78.96 Se.upf
CELL_PARAMETERS angstrom
-3.557 -0.081 1.203
2.487 -3.019 7.151
1.687 8.817 -0.281
ATOMIC_POSITIONS angstrom
Ce 1.797 -2.018 5.177
Ce 2.288 2.801 6.952
C 2.042 0.387 6.065
Ce -1.180 7.735 2.896
Cl -0.197 3.762 5.535
Cl 0.814 1.955 2.538
C -0.535 -1.550 4.177
Se -1.779 -0.041 0.602
Ce -0.278 0.796 5.096
Ce 0.895 4.921 2.977
Ce -1.670 2.916 1.121
C -1.425 5.330 2.009
! calculated total energy = -6.863 eV per atom
! V = 21.1 Å³/atom
! SG = C2/m (12)
! magnetization = 2.80 Bohr magnetons per cell


(7)
! NaIn PBE relaxed; values from VASP
&SYSTEM
  ibrav = 0, nat = 32, ntyp = 2
/
ATOMIC_SPECIES
Na 22.99 Na.upf
In 114.82 In.upf
CELL_PARAMETERS angstrom
-7.720 9.016 2.756
-7.202 -5.655 -1.673
0.038 -2.489 8.250
ATOMIC_POSITIONS angstrom
Na -8.605 -3.617 1.199
In -3.569 -4.891 6.004
Na -9.759 -1.384 4.128
Na -6.297 5.734 4.009
Na -5.919 -4.647 -1.375
Na -8.864 3.719 3.413
In -7.448 0.861 3.257
In -7.309 -3.429 4.213
In -7.568 3.907 6.427
In -11.188 2.324 1.466
Na -6.039 -1.602 1.795
Na -1.283 -1.007 -0.298
Na -4.865 -5.079 2.991
In -7.296 -4.279 7.031
In -7.435 0.011 6.076
Na -5.124 2.256 5.205
In -3.828 2.444 8.219
In 0.026 -1.670 5.535
Na -4.985 -2.034 6.160
In -11.175 1.474 4.284
In -3.853 4.083 2.787
In -3.727 0.643 0.924
In 0.013 -0.819 2.716
Na -6.178 2.688 0.840
Na -2.299 -3.064 3.587
In -3.714 -0.207 3.743
Na -2.419 -0.019 6.757
In -3.594 -3.253 0.573
In -7.555 3.056 9.246
Na -9.879 1.662 7.298
Na -8.744 0.673 0.244
Na -12.445 -0.353 6.702
! calculated total energy = -1.994 eV per atom
! formation energy from the elements = 0.035 eV/atom
! V = 30.5 Å³/atom
! SG = Fddd (70)
! magnetization = 0.00 Bohr magnetons per cell


(8)
! Y3Se2ClO8 PBE relaxed; values from VASP
&SYSTEM
  ibrav = 0, nat = 56, ntyp = 4
/
ATOMIC_SPECIES
Se 78.96 Se.upf
O 16.00 O.upf
Y 88.91 Y.upf
Cl 35.45 Cl.upf
CELL_PARAMETERS angstrom
5.603 0.000 0.000
0.000 11.189 0.000
0.000 0.000 14.672
ATOMIC_POSITIONS angstrom
Se 2.274 1.366 5.728
O 1.038 2.724 12.443
O 3.839 2.871 9.565
Y 5.174 1.620 13.707
Y 3.231 7.215 6.371
O 1.011 0.617 6.691
O 3.218 0.023 5.309
Se 3.329 9.824 13.064
O 2.385 11.166 9.362
O 5.186 5.618 12.645
Y 3.231 7.215 0.965
O 1.764 8.318 2.229
Cl 5.174 0.285 11.004
Cl 3.231 5.880 3.668
Se 2.274 1.366 1.608
O 5.186 5.618 9.362
O 3.812 4.978 6.691
O 0.433 3.451 6.975
O 1.038 2.724 9.565
Y 2.372 3.975 8.301
Y 3.143 9.529 3.668
O 2.369 9.045 7.697
O 0.417 5.571 5.309
O 1.791 6.212 7.981
O 3.839 2.871 12.443
O 4.592 10.572 14.027
O 1.011 0.617 0.645
Cl 0.429 10.904 3.668
Y 0.341 7.255 3.668
O 0.433 3.451 0.361
Se 3.329 9.824 8.944
O 1.791 6.212 14.027
Y 5.174 1.620 8.301
Se 5.075 4.229 1.608
O 4.565 8.466 2.229
O 5.170 7.738 14.311
Y 2.460 1.660 11.004
O 3.235 2.144 0.361
Se 5.075 4.229 5.728
O 5.170 7.738 7.697
O 2.385 11.166 12.645
O 3.218 0.023 2.026
O 3.812 4.978 0.645
O 4.565 8.466 5.107
Y 0.429 9.569 0.965
O 3.235 2.144 6.975
O 4.592 10.572 7.981
Se 0.528 6.960 13.064
O 0.417 5.571 2.026
Y 5.262 3.935 11.004
O 1.764 8.318 5.107
O 2.369 9.045 14.311
Cl 2.372 5.309 11.004
Y 0.429 9.569 6.371
Se 0.528 6.960 8.944
Y 2.372 3.975 13.707
! calculated total energy = -7.208 eV per atom
! V = 16.4 Å³/atom
! SG = Pnma (62)
! magnetization = 0.00 Bohr magnetons per cell


(9)
! CrNiTeI2 PBE relaxed; values from VASP
&SYSTEM
  ibrav = 0, nat = 5, ntyp = 4
/
ATOMIC_SPECIES
I 126.90 I.upf
Cr 52.00 Cr.upf
Te 127.60 Te.upf
Ni 58.69 Ni.upf
CELL_PARAMETERS angstrom
5.304 0.000 0.000
0.000 5.304 0.000
0.000 0.000 5.114
ATOMIC_POSITIONS angstrom
I 0.000 2.652 0.000
Cr 2.652 2.652 2.557
Te 0.000 0.000 2.557
I 2.652 0.000 0.000
Ni 0.000 0.000 0.000
! calculated total energy = -3.808 eV per atom
! V = 28.8 Å³/atom
! SG = P4/mmm (123)
! magnetization = 4.06 Bohr magnetons per cell


(10)
! ErNi3P3 PBE relaxed; values from VASP
&SYSTEM
  ibrav = 0, nat = 14, ntyp = 3
/
ATOMIC_SPECIES
P 30.97 P.upf
Er 167.26 Er.upf
Ni 58.69 Ni.upf
CELL_PARAMETERS angstrom
6.099 0.000 0.000
0.000 6.099 0.000
0.000 0.000 6.099
ATOMIC_POSITIONS angstrom
P 3.049 0.000 4.574
P 4.574 3.049 0.000
Er 0.000 0.000 0.000
P 0.000 4.574 3.049
Ni 3.049 4.574 0.000
Ni 3.049 1.525 0.000
Ni 4.574 0.000 3.049
P 3.049 0.000 1.525
Ni 0.000 3.049 1.525
P 0.000 1.525 3.049
Er 3.049 3.049 3.049
Ni 0.000 3.049 4.574
P 1.525 3.049 0.000
Ni 1.525 0.000 3.049
! calculated total energy = -5.969 eV per atom
! formation energy from the elements = -0.521 eV/atom
! V = 16.2 Å³/atom
! SG = Pm-3n (223)
! magnetization = 0.00 Bohr magnetons per cell


(11)
! MoIrCl2 PBE relaxed; values from VASP
&SYSTEM
  ibrav = 0, nat = 4, ntyp = 3
/
ATOMIC_SPECIES
Cl 35.45 Cl.upf
Mo 95.94 Mo.upf
Ir 192.22 Ir.upf
CELL_PARAMETERS angstrom
-2.314 1.884 -0.249
-1.941 -2.283 0.764
0.832 2.153 8.576
ATOMIC_POSITIONS angstrom
Cl -1.622 0.770 2.894
Mo -2.260 0.483 6.667
Cl -0.925 0.000 8.611
Ir -0.278 0.309 4.930
! calculated total energy = -6.075 eV per atom
! V = 20.6 Å³/atom
! SG = Pmm2 (25)
! magnetization = 0.00 Bohr magnetons per cell


(12)
! ErZrC2 PBE relaxed; values from VASP
&SYSTEM
  ibrav = 0, nat = 4, ntyp = 3
/
ATOMIC_SPECIES
C 12.01 C.upf
Er 167.26 Er.upf
Zr 91.22 Zr.upf
CELL_PARAMETERS angstrom
-1.718 -2.980 0.384
1.743 -2.955 0.461
-0.122 -1.175 5.930
ATOMIC_POSITIONS angstrom
C -0.028 -1.755 1.852
C -0.087 -1.393 4.399
Er -0.103 -5.144 6.410
Zr -0.049 -3.549 3.433
! calculated total energy = -7.968 eV per atom
! formation energy from the elements = -0.078 eV/atom
! V = 14.8 Å³/atom
! SG = R3m (160)
! magnetization = 0.00 Bohr magnetons per cell